No. 1
First-principles (PBE-GGA) data for a relaxed structure of K4Tl4Ag, as listed in Alexandria.

Summary:
SG: I-42m, No. 121
formation energy from the elements: 42.6 kJ/mol of formula units
magnetization: 0.000 μB/f.u.
calculated density: 5.00 g/cm³

abc: 8.959 8.959 8.959
angles: 134.60 134.60 66.16
Sites, in units of the cell vectors:
K: 0.093 0.699 0.000
K: 0.301 0.301 0.394
K: 0.699 0.093 0.000
K: 0.907 0.907 0.606
Tl: 0.155 0.155 0.640
Tl: 0.485 0.845 0.000
Tl: 0.515 0.515 0.360
Tl: 0.845 0.485 0.000
Ag: 0.500 0.500 0.000

***

No. 2
First-principles (PBE-GGA) data for a relaxed structure of K2Tl5Ag4, as listed in Alexandria.

Summary:
SG: C2/m, No. 12
formation energy from the elements: 44.2 kJ/mol of formula units
magnetization: 0.000 μB/f.u.
calculated density: 8.26 g/cm³

abc: 7.609 7.609 9.490
angles: 128.57 128.57 50.73
Sites, in units of the cell vectors:
K: 0.204 0.204 0.204
K: 0.796 0.796 0.796
Tl: 0.249 0.750 0.322
Tl: 0.250 0.751 0.678
Tl: 0.500 0.500 0.000
Tl: 0.750 0.249 0.322
Tl: 0.751 0.250 0.678
Ag: 0.251 0.251 0.597
Ag: 0.251 0.251 0.906
Ag: 0.749 0.749 0.094
Ag: 0.749 0.749 0.403